VASP calculation (SCAN) on Nd12Si5Se28 at its PBEsol-relaxed geometry.

Properties
ΔE_f (raw)   -36.65 kcal/mol of atoms
Space-group type   P3 (143)

The structure in POSCAR format:
```
Nd12Si5Se28
1.0
-4.5515 6.5838 -6.7136
-4.0863 -1.4161 9.5095
13.4460 17.9062 8.4443
Nd Se Si
24 56 10
Direct
0.6852 0.8950 0.5712
0.5611 0.5277 0.9393
0.0933 0.7885 0.3278
0.5619 0.5504 0.4540
0.5631 0.5352 0.1966
0.4723 0.0335 0.9393
0.6848 0.8848 0.8116
0.2000 0.3152 0.8116
0.1049 0.7990 0.0734
0.2098 0.3148 0.5712
0.6951 0.9067 0.3278
0.6942 0.8951 0.0734
0.2010 0.3058 0.0734
0.4628 0.0194 0.6927
0.5567 0.5372 0.6927
0.1050 0.7902 0.5712
0.2115 0.3049 0.3278
0.9806 0.4433 0.6927
0.1152 0.8000 0.8116
0.9721 0.4369 0.1966
0.4648 0.0279 0.1966
0.9885 0.4381 0.4540
0.4496 0.0115 0.4540
0.9665 0.4389 0.9393
0.2471 0.4075 0.4471
0.0881 0.5108 0.0743
0.7470 0.1842 0.5121
0.1925 0.7550 0.9614
0.6667 0.3333 0.1426
0.7529 0.1874 0.7594
0.8158 0.5628 0.5121
0.4992 0.5777 0.5734
0.1603 0.7529 0.4471
0.7532 0.1872 0.0121
0.5625 0.8075 0.9614
0.0000 0.0000 0.2726
0.5925 0.8397 0.4471
0.0785 0.5008 0.5734
0.5903 0.8296 0.6978
0.4227 0.9119 0.0743
0.5724 0.8184 0.2050
0.6667 0.3333 0.6437
0.8583 0.7687 0.8872
0.1816 0.7539 0.2050
0.4372 0.2500 0.2640
0.8126 0.5656 0.7594
0.8452 0.7694 0.3887
0.4372 0.2530 0.5121
0.1007 0.5118 0.3159
0.0747 0.5061 0.8270
0.8128 0.5660 0.0121
0.4344 0.2471 0.7594
0.1704 0.7607 0.6978
0.4110 0.8993 0.3159
0.9163 0.1467 0.1411
0.2313 0.0895 0.8872
0.4223 0.9215 0.5734
0.2393 0.4097 0.6978
0.0000 0.0000 0.0192
0.4313 0.9253 0.8270
0.9242 0.1548 0.3887
0.2306 0.0758 0.3887
0.2461 0.4276 0.2050
0.4939 0.5687 0.8270
0.9174 0.1479 0.6353
0.8533 0.7696 0.1411
0.8129 0.5628 0.2640
0.6667 0.3333 0.3962
0.0000 0.0000 0.5203
0.2306 0.0826 0.6353
0.2450 0.4375 0.9614
0.4340 0.2468 0.0121
0.2304 0.0837 0.1411
0.4892 0.5773 0.0743
0.6667 0.3333 0.8903
0.9105 0.1417 0.8872
0.0000 0.0000 0.7671
0.4882 0.5890 0.3159
0.8521 0.7694 0.6353
0.7500 0.1871 0.2640
0.6667 0.3333 0.5501
0.0000 0.0000 0.4273
0.6667 0.3333 0.0478
0.0000 0.0000 0.6724
0.0000 0.0000 0.9236
0.0000 0.0000 0.1794
0.3333 0.6667 0.0157
0.3333 0.6667 0.2635
0.6667 0.3333 0.3034
0.6667 0.3333 0.7947
```

---

VASP calculation (SCAN) on SrNd2Se4 at its PBEsol-relaxed geometry.

Properties
ΔE_f (raw)   -50.80 kcal/mol of atoms
Space-group type   I-42d (122)

The structure in POSCAR format:
```
SrNd2Se4
1.0
7.7159 -0.0016 0.0000
-2.5777 7.2726 0.0000
-2.5691 -3.6355 6.3022
Sr Se Nd
2 8 4
Direct
0.7500 0.2500 0.5000
0.5000 0.5000 0.0000
0.2267 0.4776 0.5935
0.0233 0.1168 0.7509
0.5224 0.1159 0.7491
0.3668 0.7733 0.2509
0.7276 0.9767 0.0935
0.3659 0.2724 0.2491
0.8832 0.6341 0.9065
0.8841 0.6332 0.4065
0.2524 0.8750 0.8774
0.1250 0.0024 0.3774
0.9976 0.3750 0.1226
0.6250 0.7476 0.6226
```

---

VASP calculation (SCAN) on NdTlSe2 at its PBEsol-relaxed geometry.

Properties
ΔE_f (raw)   -35.64 kcal/mol of atoms
Space-group type   R-3m (166)

The structure in POSCAR format:
```
NdTlSe2
1.0
4.2382 0.0000 0.0000
2.1191 3.6704 0.0000
2.1191 1.2235 7.5750
Nd Se Tl
1 2 1
Direct
0.0000 0.0000 0.0000
0.2614 0.2614 0.2159
0.7386 0.7386 0.7841
0.5000 0.5000 0.5000
```

---

| no. | E_tot (eV/atom) |
| --- | --- |
| 1 | -26.82 |
| 2 | -29.31 |
| 3 | -40.57 |